Density functional theory data (PBE) for a relaxed structure of Ac2GeRhO6.

Unit cell a=5.700 b=5.700 c=5.700 alpha=60.00 beta=60.00 gamma=60.00
Positions (direct):
Ac: 0.250 0.250 0.250
Ac: 0.750 0.750 0.750
Ge: 0.000 0.000 0.000
Rh: 0.500 0.500 0.500
O: 0.239 0.239 0.761
O: 0.239 0.761 0.239
O: 0.239 0.761 0.761
O: 0.761 0.239 0.239
O: 0.761 0.239 0.761
O: 0.761 0.761 0.239

## Properties
Total energy = -7.1961 eV per atom
Size of the total moment = 0.00 μB per cell
ΔE_f (raw) = -2.203 eV/atom

=====

Density functional theory data (PBE) for a relaxed structure of Tb2TeOs.

Unit cell a=3.567 b=3.567 c=7.527 alpha=90.00 beta=90.00 gamma=90.00
Positions (direct):
Tb: 0.000 0.000 0.220
Tb: 0.000 0.000 0.780
Te: 0.500 0.500 0.500
Os: 0.500 0.500 0.000

## Properties
Total energy = -6.5079 eV per atom
Size of the total moment = 0.00 μB per cell
ΔE_f (raw) = -0.600 eV/atom

=====

Which value of size of the total moment does entry 1 give? 0.00 μB per cell